i:
SiTe2MoI: relaxed, PBE-GGA.

abc: 5.305 5.305 5.404
angles: 90.00 90.00 90.00
Fractional positions:
I1 0.000 0.000 0.500
Mo1 0.500 0.500 0.500
Te1 0.000 0.500 0.000
Te2 0.500 0.000 0.000
Si1 0.000 0.000 0.000

Theoretical density, g cm⁻³: 5.5
DOS(E_F), states/eV/cell: 4.3

=====

ii:
SiTe2MoI: relaxed, PBE-GGA.

abc: 5.303 5.303 5.582
angles: 90.00 90.00 90.00
Fractional positions:
I1 0.000 0.000 0.500
Mo1 0.000 0.000 0.000
Te1 0.000 0.500 0.000
Te2 0.500 0.000 0.000
Si1 0.500 0.500 0.500

Theoretical density, g cm⁻³: 5.4
DOS(E_F), states/eV/cell: 4.6

=====

The most stable arrangement is ii, and the next structure is 203 meV/atom less stable.